Compound: ZrTa2Cd
Source: Alexandria
Functional: PBEsol
Structure: relaxed

Output
Space-group type: R3m, No. 160
Electronic total energy: -8.635 eV/atom
Energy of formation from the pure elements: 0.212 eV per atom
Total magnetic moment: 0.0 μB/f.u.

a = 2.9201 Å, b = 2.9201 Å, c = 10.5365 Å
α = 82.04°, β = 82.04°, γ = 60.01°
Positions (direct):
Cd 0.2522 0.2522 0.2435
Ta 0.0004 0.0004 0.9988
Ta 0.7475 0.7475 0.7574
Zr 0.5000 0.5000 0.5002